VASP calculation (PBE) on a relaxed Li2VN crystal.

Structure (extended XYZ):
```
16
Lattice="7.551 0.000 0.000 0.000 7.551 0.000 0.000 0.000 3.818" Properties=species:S:1:pos:R:3 pbc="T T T"
Li 0.864 1.888 0.477
Li 1.888 4.640 1.432
Li 1.888 6.687 3.341
Li 2.911 1.888 2.386
Li 4.640 5.663 2.386
Li 5.663 0.864 3.341
Li 5.663 2.911 1.432
Li 6.687 5.663 0.477
V 0.000 0.000 1.909
V 0.000 3.776 2.864
V 3.776 0.000 0.955
V 3.776 3.776 0.000
N 0.000 0.000 0.000
N 0.000 3.776 0.955
N 3.776 0.000 2.864
N 3.776 3.776 1.909
```

Summary:
- Space group: No. 122
- Theoretical density: 2.405 Mg/m³
- Formation energy (no corrections): -2.1 kcal/mol of atoms

---

VASP calculation (PBE) on a relaxed Zr6In3P crystal.

Structure (extended XYZ):
```
20
Lattice="5.567 0.000 0.000 0.000 8.036 0.000 -5.548 0.000 10.125" Properties=species:S:1:pos:R:3 pbc="T T T"
Zr -2.397 1.542 4.384
Zr -5.171 2.476 9.447
Zr -0.543 5.247 4.398
Zr -3.317 6.807 9.460
Zr 0.792 0.271 2.346
Zr -1.982 3.746 7.409
Zr 2.002 4.289 2.717
Zr -0.772 7.764 7.779
Zr 3.336 1.229 0.665
Zr 0.563 2.789 5.727
Zr 5.190 5.560 0.678
Zr 2.417 6.494 5.741
In -3.397 1.010 7.459
In -0.624 3.008 2.396
In 0.010 0.000 5.063
In 2.784 4.018 0.000
In 0.643 5.028 7.729
In 3.417 7.025 2.667
P 0.000 0.000 0.000
P -2.774 4.018 5.063
```

Summary:
- DFT formation energy: -0.33 eV/atom
- Space group: No. 14
- Theoretical density: 6.766 Mg/m³

---

VASP calculation (PBE) on a relaxed AcY2Ni crystal.

Structure (extended XYZ):
```
8
Lattice="3.786 0.000 0.000 0.000 9.965 0.000 -1.881 0.000 6.223" Properties=species:S:1:pos:R:3 pbc="T T T"
Ac 0.001 2.491 1.078
Ac 1.905 7.473 5.145
Y 0.005 0.728 4.478
Y 0.005 4.254 4.478
Y 1.901 5.710 1.744
Y 1.901 9.237 1.744
Ni 0.008 7.473 2.837
Ni 1.897 2.491 3.386
```

Summary:
- DFT formation energy: -0.16 eV/atom
- Space group: No. 11
- Theoretical density: 6.557 Mg/m³

---

VASP calculation (PBE) on a relaxed ThCdCo crystal.

Structure (extended XYZ):
```
12
Lattice="3.650 0.000 0.000 0.000 17.801 0.000 0.000 0.000 3.980" Properties=species:S:1:pos:R:3 pbc="T T T"
Th 0.000 1.527 0.995
Th 0.000 16.274 2.985
Th 1.825 7.374 2.985
Th 1.825 10.427 0.995
Cd 0.000 5.176 0.995
Cd 0.000 12.625 2.985
Cd 1.825 3.724 2.985
Cd 1.825 14.077 0.995
Co 0.000 7.893 0.995
Co 0.000 9.908 2.985
Co 1.825 1.007 2.985
Co 1.825 16.794 0.995
```

Summary:
- DFT formation energy: -0.32 eV/atom
- Space group: No. 63
- Theoretical density: 10.360 Mg/m³

---

Number 1: magnetization 8.45 μB/cell. Number 2: magnetization 0.00 μB/cell. Number 3: magnetization 0.00 μB/cell. Number 4: magnetization 0.00 μB/cell.